VASP calculation (PBE) on RbFeIrAu2 after structural relaxation.

Output
DFT formation energy = 0.69 eV/atom

a b c (Å): 5.098 5.098 4.498
angles (deg): 90.00 90.00 90.00
Element x y z (fractional)
Rb 0.000 0.000 0.000
Fe 0.500 0.500 0.500
Ir 0.500 0.500 0.000
Au 0.000 0.500 0.500
Au 0.500 0.000 0.500